# 1
Density functional theory data (PBE) for a relaxed structure of Ta3IrF.

Values from the calculation:
Volume: 15.5 Å³/atom
Electronic total energy: -45.98 eV per cell
Magnetization: 0.00 μB per atom
Excess energy over the best structure of this formula in the dataset: 0.0000 eV per atom
Uncorrected formation energy: 62.3 meV per atom

```
Ta3IrF
1.0
-3.5426 2.3529 -0.2760
-0.6218 -1.4026 -3.9760
-2.2860 -3.2648 1.5092
F Ir Ta
1 1 3
Cartesian
0.0000 0.0000 0.0000
-3.2252 -1.1572 -1.3714
-0.3109 -0.7013 -1.9880
-1.1430 -1.6324 0.7546
-1.7713 1.1765 -0.1380
```

# 2
Density functional theory data (PBE) for a relaxed structure of TaTcIr2F.

Values from the calculation:
Volume: 22.8 Å³/atom
Electronic total energy: -33.60 eV per cell
Magnetization: 0.71 μB per atom
Uncorrected formation energy: 1642.8 meV per atom

```
TaTcIr2F
1.0
-1.2751 -0.7001 4.5302
1.6013 -4.7725 -0.2869
4.3277 1.3662 1.4292
F Ir Tc Ta
1 2 1 1
Cartesian
2.3270 -2.0532 2.8363
2.1639 0.6831 0.7146
-0.6375 -0.3501 2.2651
0.8006 -2.3862 -0.1434
0.0000 0.0000 0.0000
```